No. 1
Compound: LaYSc2N
Source: the Alexandria database
Functional: PBE
Structure: optimized geometry

abc: 4.5122 4.5122 5.5353
angles: 90.00 90.00 90.00
Space group P4/mmm (No. 123)
Asymmetric unit:
La1 0.0000 0.0000 0.0000
Y1 0.5000 0.5000 0.0000
Sc1 0.0000 0.5000 0.5000
N1 0.0000 0.0000 0.5000

Results
* electronic total energy: -35.0 eV per formula unit
* formation energy from raw total energies: -2.66 eV per formula unit

---

No. 2
Compound: La2YScN
Source: the Alexandria database
Functional: PBE
Structure: optimized geometry

abc: 5.2603 5.2603 4.7662
angles: 90.00 90.00 90.00
Space group P4/mmm (No. 123)
Asymmetric unit:
La1 0.0000 0.5000 0.0000
Y1 0.0000 0.0000 0.5000
Sc1 0.5000 0.5000 0.5000
N1 0.0000 0.0000 0.0000

Results
* electronic total energy: -33.6 eV per formula unit
* formation energy from raw total energies: -2.59 eV per formula unit
* offset from the most stable computed form: 10 meV/atom

---

No. 3
Compound: La2ScZnN
Source: the Alexandria database
Functional: PBE
Structure: optimized geometry

abc: 5.2403 5.2403 4.2753
angles: 90.00 90.00 90.00
Space group P4/mmm (No. 123)
Asymmetric unit:
La1 0.0000 0.5000 0.0000
Sc1 0.0000 0.0000 0.5000
Zn1 0.5000 0.5000 0.5000
N1 0.0000 0.0000 0.0000

Results
* electronic total energy: -29.5 eV per formula unit
* formation energy from raw total energies: -3.70 eV per formula unit

---

No. 4
Compound: LaSc2ZnN
Source: the Alexandria database
Functional: PBE
Structure: optimized geometry

abc: 4.4913 4.4913 5.0355
angles: 90.00 90.00 90.00
Space group P4/mmm (No. 123)
Asymmetric unit:
La1 0.0000 0.0000 0.0000
Sc1 0.0000 0.5000 0.5000
Zn1 0.5000 0.5000 0.0000
N1 0.0000 0.0000 0.5000

Results
* electronic total energy: -31.0 eV per formula unit
* formation energy from raw total energies: -3.80 eV per formula unit

---

No. 5
Compound: LaZr2ScN4
Source: the Alexandria database
Functional: PBE
Structure: optimized geometry

abc: 6.6735 6.8028 9.5372
angles: 90.00 90.00 90.00
Space group Imma (No. 74)
Asymmetric unit:
La1 0.2500 0.2500 0.2500
Zr1 0.0000 0.0000 0.0000
Zr2 0.2500 0.2500 0.7500
Sc1 0.0000 0.0000 0.5000
N1 0.0000 0.0256 0.7517
N2 0.2484 0.2500 0.9885

Results
* electronic total energy: -74.3 eV per formula unit
* formation energy from raw total energies: -12.66 eV per formula unit

---

No. 6
Compound: LaSe2N2
Source: the Alexandria database
Functional: PBE
Structure: optimized geometry

abc: 4.2325 4.2325 4.7134
angles: 90.00 90.00 90.00
Space group P4/mmm (No. 123)
Asymmetric unit:
La1 0.0000 0.0000 0.0000
Se1 0.0000 0.5000 0.5000
N1 0.5000 0.5000 0.0000
N2 0.5000 0.5000 0.5000

Results
* electronic total energy: -26.2 eV per formula unit
* formation energy from raw total energies: 2.35 eV per formula unit
* offset from the most stable computed form: 55 meV/atom

---

No. 7
Compound: La5Se5N
Source: the Alexandria database
Functional: PBE
Structure: optimized geometry

abc: 13.3835 5.9869 8.3391
angles: 90.00 108.79 90.00
Space group C2/m (No. 12)
Asymmetric unit:
La1 0.0000 0.0000 0.0000
La2 0.1458 0.5000 0.8471
La3 0.1536 0.5000 0.3104
Se1 0.0000 0.5000 0.5000
Se2 0.1650 0.0000 0.8305
Se3 0.1776 0.0000 0.3306
N1 0.0000 0.5000 0.0000

Results
* electronic total energy: -70.3 eV per formula unit
* formation energy from raw total energies: -19.94 eV per formula unit

---

No. 8
Compound: LaSe2N2
Source: the Alexandria database
Functional: PBE
Structure: optimized geometry

abc: 6.1554 6.1554 4.3561
angles: 90.00 90.00 90.00
Space group P4/mmm (No. 123)
Asymmetric unit:
La1 0.0000 0.0000 0.0000
Se1 0.0000 0.5000 0.0000
N1 0.0000 0.0000 0.5000
N2 0.5000 0.5000 0.5000

Results
* electronic total energy: -21.9 eV per formula unit
* formation energy from raw total energies: 6.63 eV per formula unit
* offset from the most stable computed form: 911 meV/atom

---

No. 9
Compound: La12Se3N5
Source: the Alexandria database
Functional: PBE
Structure: optimized geometry

abc: 16.2016 16.2016 16.2016
angles: 90.00 90.00 90.00
Space group Ia-3d (No. 230)
Asymmetric unit:
La1 0.0351 0.0518 0.6493
Se1 0.0000 0.2500 0.1250
N1 0.0000 0.0000 0.0000
N2 0.0000 0.2500 0.3750

Results
* electronic total energy: -133.8 eV per formula unit
* formation energy from raw total energies: -22.62 eV per formula unit

---

No. 10
Compound: La3Se2N2
Source: the Alexandria database
Functional: PBE
Structure: optimized geometry

abc: 6.6596 7.6217 7.4914
angles: 90.00 115.40 90.00
Space group P2_1/c (No. 14)
Asymmetric unit:
La1 0.0000 0.0000 0.0000
La2 0.3859 0.1076 0.7512
Se1 0.2007 0.6615 0.9120
N1 0.3377 0.1157 0.0619

Results
* electronic total energy: -49.3 eV per formula unit
* formation energy from raw total energies: -10.92 eV per formula unit

---

No. 11
Compound: LaSe3N
Source: the Alexandria database
Functional: PBE
Structure: optimized geometry

abc: 4.6170 4.6170 4.6170
angles: 90.00 90.00 90.00
Space group Pm-3m (No. 221)
Asymmetric unit:
La1 0.0000 0.0000 0.0000
Se1 0.0000 0.5000 0.5000
N1 0.5000 0.5000 0.5000

Results
* electronic total energy: -25.2 eV per formula unit
* formation energy from raw total energies: -1.45 eV per formula unit
* offset from the most stable computed form: 0 meV/atom

---

No. 12
Compound: LaSeN
Source: the Alexandria database
Functional: PBE
Structure: optimized geometry

abc: 9.1860 4.2471 8.6322
angles: 90.00 103.61 90.00
Space group P2_1/c (No. 14)
Asymmetric unit:
La1 0.1655 0.2452 0.4168
Se1 0.1783 0.7490 0.6700
N1 0.4427 0.0611 0.4859

Results
* electronic total energy: -20.5 eV per formula unit
* formation energy from raw total energies: -3.81 eV per formula unit
* offset from the most stable computed form: 0 meV/atom